Entry 1:
A plane-wave DFT calculation with PBE was carried out for a relaxed NdNb2CrN4 crystal.

## Properties
The value obtained for the density of states at the Fermi level is 0.52 states/eV/atom. Its formation energy (no corrections) is -0.951 eV per atom.

The structure in POSCAR format:
```
NdNb2CrN4
1.0
1.611 -5.483 0.000
1.611 5.483 0.000
0.000 0.000 10.862
Nd Nb Cr N
2 4 2 8
Cartesian
1.611 4.376 8.147
1.611 -4.376 2.716
1.611 1.418 5.923
1.611 1.418 10.370
1.611 -1.418 0.492
1.611 -1.418 4.939
1.611 3.716 2.716
1.611 -3.716 8.147
0.000 0.000 0.000
0.000 0.000 5.431
1.611 2.533 1.254
1.611 2.533 4.177
1.611 0.725 8.147
1.611 -0.725 2.716
1.611 -2.533 6.685
1.611 -2.533 9.608
```

Entry 2:
A plane-wave DFT calculation with PBE was carried out for a relaxed NdNbCrN3 crystal.

## Properties
The value obtained for the density of states at the Fermi level is 0.48 states/eV/atom. Its formation energy (no corrections) is -0.913 eV per atom.

The structure in POSCAR format:
```
NdNbCrN3
1.0
7.050 0.000 0.000
0.000 3.194 0.000
-2.004 0.000 7.033
Nd Nb Cr N
2 2 2 6
Cartesian
0.973 0.798 1.496
4.072 2.395 5.537
0.734 2.395 6.017
4.311 0.798 1.016
-0.534 0.798 4.231
5.579 2.395 2.802
-0.860 0.798 6.079
0.365 2.395 3.518
2.807 2.395 1.104
2.238 0.798 5.929
4.680 0.798 3.515
5.905 2.395 0.955
```

Entry 3:
A plane-wave DFT calculation with PBE was carried out for a relaxed Nd2NbCrN5 crystal.

## Properties
The value obtained for the density of states at the Fermi level is 0.26 states/eV/atom. Its formation energy (no corrections) is -1.028 eV per atom.

The structure in POSCAR format:
```
Nd2NbCrN5
1.0
1.652 -7.089 0.000
1.652 7.089 0.000
0.000 0.000 10.240
Nd Nb Cr N
4 2 2 10
Cartesian
1.652 5.430 5.120
1.652 5.208 1.319
1.652 -5.208 6.439
1.652 -5.430 0.000
1.652 4.124 8.536
1.652 -4.124 3.416
1.652 0.683 2.598
1.652 -0.683 7.718
1.652 6.575 8.504
1.652 2.888 4.795
1.652 2.498 1.961
1.652 2.219 8.353
1.652 0.028 6.111
1.652 -0.028 0.991
1.652 -2.219 3.233
1.652 -2.498 7.081
1.652 -2.888 9.915
1.652 -6.575 3.384
```

Entry 4:
A plane-wave DFT calculation with PBE was carried out for a relaxed Nb2CrNiN crystal.

## Properties
The value obtained for the density of states at the Fermi level is 1.12 states/eV/atom. Its formation energy (no corrections) is -0.364 eV per atom.

The structure in POSCAR format:
```
Nb2CrNiN
1.0
4.261 0.000 0.000
0.000 4.261 0.000
0.000 0.000 3.696
Nb Cr Ni N
2 1 1 1
Cartesian
0.000 2.130 0.000
2.130 0.000 0.000
0.000 0.000 1.848
2.130 2.130 1.848
0.000 0.000 0.000
```

Entry 5:
A plane-wave DFT calculation with PBE was carried out for a relaxed NbCr2OsN crystal.

## Properties
The value obtained for the density of states at the Fermi level is 0.97 states/eV/atom. Its formation energy (no corrections) is -0.243 eV per atom.

The structure in POSCAR format:
```
NbCr2OsN
1.0
3.854 0.000 0.000
0.000 3.854 0.000
0.000 0.000 4.223
Nb Cr Os N
1 2 1 1
Cartesian
0.000 0.000 0.000
0.000 1.927 2.112
1.927 0.000 2.112
1.927 1.927 0.000
0.000 0.000 2.112
```

Entry 6:
A plane-wave DFT calculation with PBE was carried out for a relaxed Pa2NbCrN5 crystal.

## Properties
The value obtained for the density of states at the Fermi level is 0.27 states/eV/atom. Its formation energy (no corrections) is -1.260 eV per atom.

The structure in POSCAR format:
```
Pa2NbCrN5
1.0
1.628 -6.499 0.000
1.628 6.499 0.000
0.000 0.000 10.119
Pa Nb Cr N
4 2 2 10
Cartesian
1.628 5.112 5.059
1.628 4.628 1.266
1.628 -4.628 6.326
1.628 -5.112 0.000
1.628 3.949 8.331
1.628 -3.949 3.272
1.628 0.434 2.826
1.628 -0.434 7.886
1.628 5.890 8.998
1.628 2.831 4.867
1.628 2.311 1.851
1.628 1.704 8.283
1.628 0.166 6.079
1.628 -0.166 1.020
1.628 -1.704 3.223
1.628 -2.311 6.910
1.628 -2.831 9.926
1.628 -5.890 3.938
```

Entry 7:
A plane-wave DFT calculation with PBE was carried out for a relaxed Pa2NbCrN6 crystal.

## Properties
The value obtained for the density of states at the Fermi level is 0.46 states/eV/atom. Its formation energy (no corrections) is -0.999 eV per atom.

The structure in POSCAR format:
```
Pa2NbCrN6
1.0
5.304 0.000 0.000
0.000 5.304 0.000
0.000 0.000 4.801
Pa Nb Cr N
2 1 1 6
Cartesian
0.000 2.652 0.000
2.652 0.000 0.000
0.000 0.000 2.790
2.652 2.652 2.820
0.000 0.000 0.879
1.355 1.355 3.542
1.355 3.949 3.542
2.652 2.652 1.059
3.949 1.355 3.542
3.949 3.949 3.542
```

Entry 8:
A plane-wave DFT calculation with PBE was carried out for a relaxed NbCr2PdN crystal.

## Properties
The value obtained for the density of states at the Fermi level is 1.12 states/eV/atom. Its formation energy (no corrections) is -0.316 eV per atom.

The structure in POSCAR format:
```
NbCr2PdN
1.0
3.879 0.000 0.000
0.000 3.879 0.000
0.000 0.000 4.235
Nb Cr Pd N
1 2 1 1
Cartesian
0.000 0.000 0.000
0.000 1.939 2.117
1.939 0.000 2.117
1.939 1.939 0.000
0.000 0.000 2.117
```

Entry 9:
A plane-wave DFT calculation with PBE was carried out for a relaxed Nb2CrPdN crystal.

## Properties
The value obtained for the density of states at the Fermi level is 1.09 states/eV/atom. Its formation energy (no corrections) is -0.456 eV per atom.

The structure in POSCAR format:
```
Nb2CrPdN
1.0
4.293 0.000 0.000
0.000 4.293 0.000
0.000 0.000 3.798
Nb Cr Pd N
2 1 1 1
Cartesian
0.000 2.146 0.000
2.146 0.000 0.000
0.000 0.000 1.899
2.146 2.146 1.899
0.000 0.000 0.000
```

Entry 10:
A plane-wave DFT calculation with PBE was carried out for a relaxed PmNb2CrN4 crystal.

## Properties
The value obtained for the density of states at the Fermi level is 0.51 states/eV/atom. Its formation energy (no corrections) is -0.968 eV per atom.

The structure in POSCAR format:
```
PmNb2CrN4
1.0
1.591 -5.480 0.000
1.591 5.480 0.000
0.000 0.000 10.888
Pm Nb Cr N
2 4 2 8
Cartesian
1.591 4.362 8.166
1.591 -4.362 2.722
1.591 1.431 5.962
1.591 1.431 10.370
1.591 -1.431 0.518
1.591 -1.431 4.926
1.591 3.717 2.722
1.591 -3.717 8.166
0.000 0.000 0.000
0.000 0.000 5.444
1.591 2.519 1.259
1.591 2.519 4.186
1.591 0.667 8.166
1.591 -0.667 2.722
1.591 -2.519 6.703
1.591 -2.519 9.630
```

Entry 11:
A plane-wave DFT calculation with PBE was carried out for a relaxed Nb2CrPtN crystal.

## Properties
The value obtained for the density of states at the Fermi level is 0.88 states/eV/atom. Its formation energy (no corrections) is -0.608 eV per atom.

The structure in POSCAR format:
```
Nb2CrPtN
1.0
4.260 0.000 0.000
0.000 4.260 0.000
0.000 0.000 3.854
Nb Cr Pt N
2 1 1 1
Cartesian
0.000 2.130 0.000
2.130 0.000 0.000
0.000 0.000 1.927
2.130 2.130 1.927
0.000 0.000 0.000
```

Entry 12:
A plane-wave DFT calculation with PBE was carried out for a relaxed Nb2CrReN crystal.

## Properties
The value obtained for the density of states at the Fermi level is 0.69 states/eV/atom. Its formation energy (no corrections) is -0.335 eV per atom.

The structure in POSCAR format:
```
Nb2CrReN
1.0
4.397 0.000 0.000
0.000 4.397 0.000
0.000 0.000 3.612
Nb Cr Re N
2 1 1 1
Cartesian
0.000 2.199 0.000
2.199 0.000 0.000
0.000 0.000 1.806
2.199 2.199 1.806
0.000 0.000 0.000
```

Entry 13:
A plane-wave DFT calculation with PBE was carried out for a relaxed Nb2CrRhN crystal.

## Properties
The value obtained for the density of states at the Fermi level is 0.69 states/eV/atom. Its formation energy (no corrections) is -0.508 eV per atom.

The structure in POSCAR format:
```
Nb2CrRhN
1.0
4.260 0.000 0.000
0.000 4.260 0.000
0.000 0.000 3.820
Nb Cr Rh N
2 1 1 1
Cartesian
0.000 2.130 0.000
2.130 0.000 0.000
0.000 0.000 1.910
2.130 2.130 1.910
0.000 0.000 0.000
```

Entry 14:
A plane-wave DFT calculation with PBE was carried out for a relaxed NbCr2RhN crystal.

## Properties
The value obtained for the density of states at the Fermi level is 1.02 states/eV/atom. Its formation energy (no corrections) is -0.377 eV per atom.

The structure in POSCAR format:
```
NbCr2RhN
1.0
3.836 0.000 0.000
0.000 3.836 0.000
0.000 0.000 4.248
Nb Cr Rh N
1 2 1 1
Cartesian
0.000 0.000 0.000
0.000 1.918 2.124
1.918 0.000 2.124
1.918 1.918 0.000
0.000 0.000 2.124
```

Entry 15:
A plane-wave DFT calculation with PBE was carried out for a relaxed NbCr2RuN crystal.

## Properties
The value obtained for the density of states at the Fermi level is 0.94 states/eV/atom. Its formation energy (no corrections) is -0.278 eV per atom.

The structure in POSCAR format:
```
NbCr2RuN
1.0
3.837 0.000 0.000
0.000 3.837 0.000
0.000 0.000 4.253
Nb Cr Ru N
1 2 1 1
Cartesian
0.000 0.000 0.000
0.000 1.919 2.127
1.919 0.000 2.127
1.919 1.919 0.000
0.000 0.000 2.127
```

Entry 16:
A plane-wave DFT calculation with PBE was carried out for a relaxed Nb2CrSbN crystal.

## Properties
The value obtained for the density of states at the Fermi level is 0.88 states/eV/atom. Its formation energy (no corrections) is -0.306 eV per atom.

The structure in POSCAR format:
```
Nb2CrSbN
1.0
4.323 0.000 0.000
0.000 4.323 0.000
0.000 0.000 3.979
Nb Cr Sb N
2 1 1 1
Cartesian
0.000 2.162 0.000
2.162 0.000 0.000
0.000 0.000 1.990
2.162 2.162 1.990
0.000 0.000 0.000
```

Entry 17:
A plane-wave DFT calculation with PBE was carried out for a relaxed NbCrSeN2 crystal.

## Properties
The energy above the lowest structure with this stoichiometry comes out at 209.2 meV/atom. The value obtained for the density of states at the Fermi level is 1.08 states/eV/atom. Its formation energy (no corrections) is 0.547 eV per atom.

The structure in POSCAR format:
```
NbCrSeN2
1.0
3.748 0.000 0.000
0.000 3.748 0.000
0.000 0.000 4.967
Nb Cr Se N
1 1 1 2
Cartesian
0.000 0.000 0.000
1.874 1.874 2.483
1.874 1.874 0.000
0.000 1.874 2.483
1.874 0.000 2.483
```

Entry 18:
A plane-wave DFT calculation with PBE was carried out for a relaxed NbCrSe2N crystal.

## Properties
The energy above the lowest structure with this stoichiometry comes out at 39.4 meV/atom. The value obtained for the density of states at the Fermi level is 0.70 states/eV/atom. Its formation energy (no corrections) is 0.207 eV per atom.

The structure in POSCAR format:
```
NbCrSe2N
1.0
4.958 0.000 0.000
0.000 4.958 0.000
0.000 0.000 3.517
Nb Cr Se N
1 1 2 1
Cartesian
0.000 0.000 0.000
2.479 2.479 1.758
0.000 2.479 1.758
2.479 0.000 1.758
2.479 2.479 0.000
```

Entry 19:
A plane-wave DFT calculation with PBE was carried out for a relaxed NbCrSeN2 crystal.

## Properties
The energy above the lowest structure with this stoichiometry comes out at 0.0 meV/atom. The value obtained for the density of states at the Fermi level is 0.56 states/eV/atom. Its formation energy (no corrections) is 0.338 eV per atom.

The structure in POSCAR format:
```
NbCrSeN2
1.0
3.991 0.000 0.000
0.000 3.991 0.000
0.000 0.000 5.481
Nb Cr Se N
1 1 1 2
Cartesian
0.000 0.000 0.000
1.996 1.996 2.741
0.000 0.000 2.741
0.000 1.996 0.000
1.996 0.000 0.000
```

Entry 20:
A plane-wave DFT calculation with PBE was carried out for a relaxed NbCrSe2N crystal.

## Properties
The energy above the lowest structure with this stoichiometry comes out at 0.0 meV/atom. The value obtained for the density of states at the Fermi level is 0.57 states/eV/atom. Its formation energy (no corrections) is 0.167 eV per atom.

The structure in POSCAR format:
```
NbCrSe2N
1.0
5.186 0.000 0.000
0.000 5.186 0.000
0.000 0.000 3.882
Nb Cr Se N
1 1 2 1
Cartesian
0.000 0.000 0.000
2.593 2.593 1.941
0.000 2.593 0.000
2.593 0.000 0.000
0.000 0.000 1.941
```